Entry 1:
The following is a PBE calculation of a geometry-optimized Ba2Zn3Ga4Pb structure, from the Alexandria database.

Structure (CIF):
```
data_Ba2Zn3Ga4Pb
_space_group_name_H-M_alt 'P 1'
_space_group_IT_number 1
_cell_length_a 4.655
_cell_length_b 4.655
_cell_length_c 11.219
_cell_angle_alpha 90.00
_cell_angle_beta 90.00
_cell_angle_gamma 90.00
loop_
_space_group_symop_operation_xyz
'x,y,z'
loop_
_atom_site_label
_atom_site_type_symbol
_atom_site_fract_x
_atom_site_fract_y
_atom_site_fract_z
Ba1 Ba 0.000 0.500 0.240
Ba2 Ba 0.500 0.000 0.760
Zn1 Zn 0.000 0.500 0.881
Zn2 Zn 0.500 0.000 0.119
Zn3 Zn 0.500 0.500 0.500
Ga1 Ga 0.000 0.000 0.000
Ga2 Ga 0.000 0.500 0.649
Ga3 Ga 0.500 0.000 0.351
Ga4 Ga 0.500 0.500 0.000
Pb1 Pb 0.000 0.000 0.500
```

Output
- DOS at the Fermi energy (states/eV per cell) = 4.46
- E (eV per atom) = -2.67
- calculated formation energy (meV per atom) = -323

Entry 2:
The following is a PBE calculation of a geometry-optimized Ba2Ga5Pd3 structure, from the Alexandria database.

Structure (CIF):
```
data_Ba2Ga5Pd3
_space_group_name_H-M_alt 'P 1'
_space_group_IT_number 1
_cell_length_a 9.056
_cell_length_b 9.056
_cell_length_c 9.056
_cell_angle_alpha 106.02
_cell_angle_beta 87.44
_cell_angle_gamma 140.24
loop_
_space_group_symop_operation_xyz
'x,y,z'
loop_
_atom_site_label
_atom_site_type_symbol
_atom_site_fract_x
_atom_site_fract_y
_atom_site_fract_z
Ba1 Ba 0.132 0.231 0.363
Ba2 Ba 0.368 0.731 0.099
Ba3 Ba 0.632 0.269 0.901
Ba4 Ba 0.868 0.769 0.637
Ga1 Ga 0.029 0.750 0.279
Ga2 Ga 0.104 0.646 0.751
Ga3 Ga 0.250 0.250 0.000
Ga4 Ga 0.396 0.146 0.542
Ga5 Ga 0.471 0.750 0.721
Ga6 Ga 0.529 0.250 0.279
Ga7 Ga 0.604 0.854 0.458
Ga8 Ga 0.750 0.750 0.000
Ga9 Ga 0.896 0.354 0.249
Ga10 Ga 0.971 0.250 0.721
Pd1 Pd 0.136 0.897 0.033
Pd2 Pd 0.250 0.750 0.500
Pd3 Pd 0.364 0.397 0.761
Pd4 Pd 0.636 0.603 0.239
Pd5 Pd 0.750 0.250 0.500
Pd6 Pd 0.864 0.103 0.967
```

Output
- DOS at the Fermi energy (states/eV per cell) = 10.76
- E (eV per atom) = -4.07
- calculated formation energy (meV per atom) = -613

Entry 3:
The following is a PBE calculation of a geometry-optimized Ba2Ga3Pd structure, from the Alexandria database.

Structure (CIF):
```
data_Ba2Ga3Pd
_space_group_name_H-M_alt 'P 1'
_space_group_IT_number 1
_cell_length_a 9.164
_cell_length_b 8.882
_cell_length_c 6.732
_cell_angle_alpha 70.35
_cell_angle_beta 65.88
_cell_angle_gamma 43.77
loop_
_space_group_symop_operation_xyz
'x,y,z'
loop_
_atom_site_label
_atom_site_type_symbol
_atom_site_fract_x
_atom_site_fract_y
_atom_site_fract_z
Ba1 Ba 0.233 0.767 0.233
Ba2 Ba 0.250 0.250 0.250
Ba3 Ba 0.750 0.750 0.750
Ba4 Ba 0.767 0.233 0.767
Ga1 Ga 0.169 0.662 0.831
Ga2 Ga 0.333 0.333 0.667
Ga3 Ga 0.338 0.831 0.662
Ga4 Ga 0.662 0.169 0.338
Ga5 Ga 0.667 0.667 0.333
Ga6 Ga 0.831 0.338 0.169
Pd1 Pd 0.166 0.166 0.834
Pd2 Pd 0.834 0.834 0.166
```

Output
- DOS at the Fermi energy (states/eV per cell) = 6.58
- E (eV per atom) = -3.54
- calculated formation energy (meV per atom) = -516

Entry 4:
The following is a PBE calculation of a geometry-optimized BaGaPd2 structure, from the Alexandria database.

Structure (CIF):
```
data_BaGaPd2
_space_group_name_H-M_alt 'P 1'
_space_group_IT_number 1
_cell_length_a 4.438
_cell_length_b 7.006
_cell_length_c 6.238
_cell_angle_alpha 90.00
_cell_angle_beta 90.00
_cell_angle_gamma 90.00
loop_
_space_group_symop_operation_xyz
'x,y,z'
loop_
_atom_site_label
_atom_site_type_symbol
_atom_site_fract_x
_atom_site_fract_y
_atom_site_fract_z
Ba1 Ba 0.250 0.250 0.139
Ba2 Ba 0.750 0.750 0.861
Ga1 Ga 0.250 0.750 0.379
Ga2 Ga 0.750 0.250 0.621
Pd1 Pd 0.250 0.054 0.626
Pd2 Pd 0.250 0.446 0.626
Pd3 Pd 0.750 0.554 0.374
Pd4 Pd 0.750 0.946 0.374
```

Output
- DOS at the Fermi energy (states/eV per cell) = 2.52
- E (eV per atom) = -4.52
- calculated formation energy (meV per atom) = -684

Entry 5:
The following is a PBE calculation of a geometry-optimized Ba3Ga2Pd3 structure, from the Alexandria database.

Structure (CIF):
```
data_Ba3Ga2Pd3
_space_group_name_H-M_alt 'P 1'
_space_group_IT_number 1
_cell_length_a 6.602
_cell_length_b 6.602
_cell_length_c 16.105
_cell_angle_alpha 90.00
_cell_angle_beta 90.00
_cell_angle_gamma 139.09
loop_
_space_group_symop_operation_xyz
'x,y,z'
loop_
_atom_site_label
_atom_site_type_symbol
_atom_site_fract_x
_atom_site_fract_y
_atom_site_fract_z
Ba1 Ba 0.080 0.920 0.605
Ba2 Ba 0.080 0.920 0.895
Ba3 Ba 0.367 0.633 0.750
Ba4 Ba 0.633 0.367 0.250
Ba5 Ba 0.920 0.080 0.105
Ba6 Ba 0.920 0.080 0.395
Ga1 Ga 0.209 0.791 0.101
Ga2 Ga 0.209 0.791 0.399
Ga3 Ga 0.791 0.209 0.601
Ga4 Ga 0.791 0.209 0.899
Pd1 Pd 0.310 0.690 0.250
Pd2 Pd 0.320 0.680 0.535
Pd3 Pd 0.320 0.680 0.965
Pd4 Pd 0.680 0.320 0.035
Pd5 Pd 0.680 0.320 0.465
Pd6 Pd 0.690 0.310 0.750
```

Output
- DOS at the Fermi energy (states/eV per cell) = 8.24
- E (eV per atom) = -4.02
- calculated formation energy (meV per atom) = -595

Entry 6:
The following is a PBE calculation of a geometry-optimized BaGa2Pd2 structure, from the Alexandria database.

Structure (CIF):
```
data_BaGa2Pd2
_space_group_name_H-M_alt 'P 1'
_space_group_IT_number 1
_cell_length_a 8.088
_cell_length_b 8.088
_cell_length_c 3.059
_cell_angle_alpha 90.00
_cell_angle_beta 90.00
_cell_angle_gamma 90.00
loop_
_space_group_symop_operation_xyz
'x,y,z'
loop_
_atom_site_label
_atom_site_type_symbol
_atom_site_fract_x
_atom_site_fract_y
_atom_site_fract_z
Ba1 Ba 0.000 0.000 0.000
Ba2 Ba 0.500 0.500 0.000
Ga1 Ga 0.115 0.385 0.000
Ga2 Ga 0.385 0.885 0.000
Ga3 Ga 0.615 0.115 0.000
Ga4 Ga 0.885 0.615 0.000
Pd1 Pd 0.179 0.679 0.500
Pd2 Pd 0.321 0.179 0.500
Pd3 Pd 0.679 0.821 0.500
Pd4 Pd 0.821 0.321 0.500
```

Output
- DOS at the Fermi energy (states/eV per cell) = 5.00
- E (eV per atom) = -4.04
- calculated formation energy (meV per atom) = -370

Entry 7:
The following is a PBE calculation of a geometry-optimized BaGa9Pd3 structure, from the Alexandria database.

Structure (CIF):
```
data_BaGa9Pd3
_space_group_name_H-M_alt 'P 1'
_space_group_IT_number 1
_cell_length_a 7.121
_cell_length_b 7.121
_cell_length_c 7.027
_cell_angle_alpha 98.01
_cell_angle_beta 98.01
_cell_angle_gamma 134.28
loop_
_space_group_symop_operation_xyz
'x,y,z'
loop_
_atom_site_label
_atom_site_type_symbol
_atom_site_fract_x
_atom_site_fract_y
_atom_site_fract_z
Ba1 Ba 0.000 0.000 0.000
Ga1 Ga 0.000 0.000 0.500
Ga2 Ga 0.004 0.643 0.652
Ga3 Ga 0.285 0.511 0.781
Ga4 Ga 0.357 0.996 0.348
Ga5 Ga 0.489 0.715 0.219
Ga6 Ga 0.511 0.285 0.781
Ga7 Ga 0.643 0.004 0.652
Ga8 Ga 0.715 0.489 0.219
Ga9 Ga 0.996 0.357 0.348
Pd1 Pd 0.000 0.500 0.000
Pd2 Pd 0.500 0.000 0.000
Pd3 Pd 0.500 0.500 0.500
```

Output
- DOS at the Fermi energy (states/eV per cell) = 5.09
- E (eV per atom) = -3.83
- calculated formation energy (meV per atom) = -390

Entry 8:
The following is a PBE calculation of a geometry-optimized Ba3Ga3Pd2 structure, from the Alexandria database.

Structure (CIF):
```
data_Ba3Ga3Pd2
_space_group_name_H-M_alt 'P 1'
_space_group_IT_number 1
_cell_length_a 8.685
_cell_length_b 16.246
_cell_length_c 6.345
_cell_angle_alpha 90.00
_cell_angle_beta 90.00
_cell_angle_gamma 90.00
loop_
_space_group_symop_operation_xyz
'x,y,z'
loop_
_atom_site_label
_atom_site_type_symbol
_atom_site_fract_x
_atom_site_fract_y
_atom_site_fract_z
Ba1 Ba 0.034 0.107 0.112
Ba2 Ba 0.034 0.393 0.112
Ba3 Ba 0.182 0.250 0.584
Ba4 Ba 0.318 0.750 0.084
Ba5 Ba 0.466 0.607 0.612
Ba6 Ba 0.466 0.893 0.612
Ba7 Ba 0.534 0.107 0.388
Ba8 Ba 0.534 0.393 0.388
Ba9 Ba 0.682 0.250 0.916
Ba10 Ba 0.818 0.750 0.416
Ba11 Ba 0.966 0.607 0.888
Ba12 Ba 0.966 0.893 0.888
Ga1 Ga 0.161 0.039 0.603
Ga2 Ga 0.161 0.461 0.603
Ga3 Ga 0.170 0.750 0.560
Ga4 Ga 0.330 0.250 0.060
Ga5 Ga 0.339 0.539 0.103
Ga6 Ga 0.339 0.961 0.103
Ga7 Ga 0.661 0.039 0.897
Ga8 Ga 0.661 0.461 0.897
Ga9 Ga 0.670 0.750 0.940
Ga10 Ga 0.830 0.250 0.440
Ga11 Ga 0.839 0.539 0.397
Ga12 Ga 0.839 0.961 0.397
Pd1 Pd 0.128 0.595 0.377
Pd2 Pd 0.128 0.905 0.377
Pd3 Pd 0.372 0.095 0.877
Pd4 Pd 0.372 0.405 0.877
Pd5 Pd 0.628 0.595 0.123
Pd6 Pd 0.628 0.905 0.123
Pd7 Pd 0.872 0.095 0.623
Pd8 Pd 0.872 0.405 0.623
```

Output
- DOS at the Fermi energy (states/eV per cell) = 28.98
- E (eV per atom) = -3.65
- calculated formation energy (meV per atom) = -499

Entry 9:
The following is a PBE calculation of a geometry-optimized Ba4GaPd structure, from the Alexandria database.

Structure (CIF):
```
data_Ba4GaPd
_space_group_name_H-M_alt 'P 1'
_space_group_IT_number 1
_cell_length_a 9.310
_cell_length_b 9.310
_cell_length_c 7.623
_cell_angle_alpha 108.18
_cell_angle_beta 108.18
_cell_angle_gamma 111.26
loop_
_space_group_symop_operation_xyz
'x,y,z'
loop_
_atom_site_label
_atom_site_type_symbol
_atom_site_fract_x
_atom_site_fract_y
_atom_site_fract_z
Ba1 Ba 0.053 0.701 0.911
Ba2 Ba 0.238 0.354 0.730
Ba3 Ba 0.299 0.947 0.589
Ba4 Ba 0.354 0.238 0.230
Ba5 Ba 0.646 0.762 0.770
Ba6 Ba 0.701 0.053 0.411
Ba7 Ba 0.762 0.646 0.270
Ba8 Ba 0.947 0.299 0.089
Ga1 Ga 0.365 0.635 0.250
Ga2 Ga 0.635 0.365 0.750
Pd1 Pd 0.002 0.998 0.750
Pd2 Pd 0.998 0.002 0.250
```

Output
- DOS at the Fermi energy (states/eV per cell) = 11.80
- E (eV per atom) = -2.94
- calculated formation energy (meV per atom) = -292

Entry 10:
The following is a PBE calculation of a geometry-optimized Ba2Ga3Pd structure, from the Alexandria database.

Structure (CIF):
```
data_Ba2Ga3Pd
_space_group_name_H-M_alt 'P 1'
_space_group_IT_number 1
_cell_length_a 4.459
_cell_length_b 4.909
_cell_length_c 7.829
_cell_angle_alpha 90.00
_cell_angle_beta 90.00
_cell_angle_gamma 90.00
loop_
_space_group_symop_operation_xyz
'x,y,z'
loop_
_atom_site_label
_atom_site_type_symbol
_atom_site_fract_x
_atom_site_fract_y
_atom_site_fract_z
Ba1 Ba 0.000 0.000 0.000
Ba2 Ba 0.500 0.000 0.487
Ga1 Ga 0.000 0.500 0.328
Ga2 Ga 0.000 0.500 0.662
Ga3 Ga 0.500 0.500 0.826
Pd1 Pd 0.500 0.500 0.160
```

Output
- DOS at the Fermi energy (states/eV per cell) = 4.80
- E (eV per atom) = -3.53
- calculated formation energy (meV per atom) = -514